A plane-wave DFT calculation with PBEsol was carried out for crystalline BaTe2AsCl at its relaxed geometry.

```
BaTe2AsCl
1.0
5.4294 0.0000 0.0000
0.0000 5.4294 0.0000
0.0000 0.0000 5.0693
Ba Te As Cl
1 2 1 1
Direct
0.0000 0.0000 0.0000
0.0000 0.5000 0.5000
0.5000 0.0000 0.5000
0.5000 0.5000 0.0000
0.5000 0.5000 0.5000
```

The uncorrected formation energy comes out at -222 meV/atom. Its density of states at the Fermi level is 2.94 states/eV/f.u. Its space group is P4/mmm (123).